Record 1
Compound: SrSb
Source: the Alexandria database
Functional: PBE
Structure: optimized geometry

Lattice parameters (Å, degrees): 9.9946 9.9946 9.9946 90.00 90.00 90.00
Space group I-43m (No. 217)
Symmetry-distinct sites (fractional):
Sr: 0.1875 0.1875 0.1875 [8 per cell]
Sb: 0.1279 0.1279 0.8721 [8 per cell]

Computed properties:
* formation energy from raw total energies: -20.71 kJ per mole of atoms
* DFT total energy: -3.12 eV per atom

Record 2
Compound: Ba2ZrAs2
Source: the Alexandria database
Functional: PBE
Structure: optimized geometry

Lattice parameters (Å, degrees): 7.8824 7.8824 4.8740 90.00 90.00 90.00
Space group P4/mbm (No. 127)
Symmetry-distinct sites (fractional):
Ba: 0.1482 0.3518 0.0000 [4 per cell]
Zr: 0.0000 0.0000 0.5000 [2 per cell]
As: 0.1706 0.6706 0.5000 [4 per cell]

Computed properties:
* energy relative to the elements: -719.5 meV per atom
* DFT total energy: -5.06 eV per atom

Record 3
Compound: PmNd3Hg
Source: the Alexandria database
Functional: PBE
Structure: optimized geometry

Lattice parameters (Å, degrees): 11.6278 7.6694 8.1079 90.00 110.52 90.00
Space group C2/m (No. 12)
Symmetry-distinct sites (fractional):
Pm: 0.0622 0.0000 0.2414 [4 per cell]
Nd: 0.0617 0.5000 0.2395 [4 per cell]
Nd: 0.1610 0.2499 0.6473 [8 per cell]
Hg: 0.2468 0.0000 0.0000 [4 per cell]

Computed properties:
* energy relative to the elements: -84.5 meV per atom
* DFT total energy: -3.96 eV per atom

Record 4
Compound: TiMnCuPb2
Source: the Alexandria database
Functional: PBE
Structure: optimized geometry

Lattice parameters (Å, degrees): 5.1241 5.1241 4.3037 90.00 90.00 90.00
Space group P4/mmm (No. 123)
Symmetry-distinct sites (fractional):
Ti: 0.0000 0.0000 0.0000 [1 per cell]
Mn: 0.0000 0.0000 0.5000 [1 per cell]
Cu: 0.5000 0.5000 0.0000 [1 per cell]
Pb: 0.0000 0.5000 0.5000 [2 per cell]

Computed properties:
* energy relative to the elements: 600.3 meV per atom
* DFT total energy: -5.12 eV per atom

Record 5
Compound: ScMnP3
Source: the Alexandria database
Functional: PBE
Structure: optimized geometry

Lattice parameters (Å, degrees): 4.8359 4.8359 4.8359 90.00 90.00 90.00
Space group Pm-3m (No. 221)
Symmetry-distinct sites (fractional):
Sc: 0.0000 0.0000 0.0000 [1 per cell]
Mn: 0.5000 0.5000 0.5000 [1 per cell]
P: 0.0000 0.0000 0.5000 [3 per cell]

Computed properties:
* energy relative to the elements: 1175.7 meV per atom
* DFT total energy: -5.17 eV per atom

Record 6
Compound: RbNaAgO2
Source: the Alexandria database
Functional: PBE
Structure: optimized geometry

Lattice parameters (Å, degrees): 5.4550 12.6508 5.6254 90.00 90.00 90.00
Space group Cmme (No. 67)
Symmetry-distinct sites (fractional):
Rb: 0.0000 0.2500 0.2397 [4 per cell]
Na: 0.2500 0.0000 0.0000 [4 per cell]
Ag: 0.0000 0.0000 0.5000 [4 per cell]
O: 0.0000 0.1055 0.7686 [8 per cell]

Computed properties:
* formation energy from raw total energies: -70.18 kJ per mole of atoms
* DFT total energy: -3.74 eV per atom

Record 7
Compound: V3CoRe
Source: the Alexandria database
Functional: PBE
Structure: optimized geometry

Lattice parameters (Å, degrees): 4.2292 4.2292 4.2292 90.00 90.00 90.00
Space group Pm-3m (No. 221)
Symmetry-distinct sites (fractional):
V: 0.0000 0.0000 0.5000 [3 per cell]
Co: 0.0000 0.0000 0.0000 [1 per cell]
Re: 0.5000 0.5000 0.5000 [1 per cell]

Computed properties:
* energy relative to the elements: 908.5 meV per atom
* DFT total energy: -8.47 eV per atom

Record 8
Compound: YSnRh3
Source: the Alexandria database
Functional: PBE
Structure: optimized geometry

Lattice parameters (Å, degrees): 4.8220 4.8220 4.8220 90.00 90.00 90.00
Space group Pm-3m (No. 221)
Symmetry-distinct sites (fractional):
Y: 0.0000 0.0000 0.0000 [1 per cell]
Sn: 0.5000 0.5000 0.5000 [1 per cell]
Rh: 0.0000 0.5000 0.5000 [3 per cell]

Computed properties:
* energy relative to the elements: 167.5 meV per atom
* DFT total energy: -6.34 eV per atom

Record 9
Compound: NaNiAs2
Source: the Alexandria database
Functional: PBE
Structure: optimized geometry

Lattice parameters (Å, degrees): 6.5016 3.7690 6.7602 90.00 108.98 90.00
Space group C2/m (No. 12)
Symmetry-distinct sites (fractional):
Na: 0.0000 0.0000 0.0000 [2 per cell]
Ni: 0.0000 0.5000 0.5000 [2 per cell]
As: 0.2199 0.0000 0.6600 [4 per cell]

Computed properties:
* energy relative to the elements: -290.4 meV per atom
* DFT total energy: -4.39 eV per atom

Record 10
Compound: PmHPd2
Source: the Alexandria database
Functional: PBE
Structure: optimized geometry

Lattice parameters (Å, degrees): 3.7442 3.7442 5.2500 90.00 90.00 90.00
Space group P4/mmm (No. 123)
Symmetry-distinct sites (fractional):
Pm: 0.0000 0.0000 0.0000 [1 per cell]
H: 0.0000 0.0000 0.5000 [1 per cell]
Pd: 0.5000 0.5000 0.2576 [2 per cell]

Computed properties:
* DFT total energy: -4.75 eV per atom

Record 11
Compound: Zn7Au3
Source: the Alexandria database
Functional: PBE
Structure: optimized geometry

Lattice parameters (Å, degrees): 14.1495 4.0422 5.6726 90.00 103.95 90.00
Space group C2/m (No. 12)
Symmetry-distinct sites (fractional):
Zn: 0.0000 0.0000 0.0000 [2 per cell]
Zn: 0.0958 0.5000 0.2983 [4 per cell]
Zn: 0.1021 0.5000 0.8070 [4 per cell]
Zn: 0.1991 0.0000 0.6097 [4 per cell]
Au: 0.0000 0.0000 0.5000 [2 per cell]
Au: 0.1970 0.0000 0.1267 [4 per cell]

Computed properties:
* energy relative to the elements: -133.2 meV per atom
* DFT total energy: -2.01 eV per atom

Record 12
Compound: PmVB
Source: the Alexandria database
Functional: PBE
Structure: optimized geometry

Lattice parameters (Å, degrees): 3.2750 19.9315 3.0735 90.00 90.00 90.00
Space group Cmcm (No. 63)
Symmetry-distinct sites (fractional):
Pm: 0.0000 0.1755 0.2500 [4 per cell]
V: 0.0000 0.4494 0.7500 [4 per cell]
B: 0.0000 0.0267 0.7500 [4 per cell]

Computed properties:
* energy relative to the elements: -5.5 meV per atom
* DFT total energy: -6.85 eV per atom

Q: What is the formula in the twelfth record?
A: PmVB

Q: The lowest DFT total energy belongs to which entry?
A: V3CoRe

Q: What is the formula in the sixth record?
A: RbNaAgO2